DFT (PBE) results for an optimized crystal structure of BaCa2ZnCd.

Cell lengths 5.831, 5.831, 5.297 Å; angles 90.00, 90.00, 90.00 degrees
Space group P4/mmm (No. 123)
Unique sites:
Ba: 0.000 0.000 0.000
Ca: 0.000 0.500 0.500
Zn: 0.500 0.500 0.500
Cd: 0.500 0.500 0.000

Results
Energy of formation: -0.23 eV/f.u.
Density of states at the Fermi level: 3.6 states/eV/f.u.
ρ: 3.6 g cm⁻³
M_tot: 0.0 μB per formula unit

=====

DFT (PBE) results for an optimized crystal structure of PuCoTcGe.

Cell lengths 6.325, 6.325, 6.325 Å; angles 90.00, 90.00, 90.00 degrees
Space group F-43m (No. 216)
Unique sites:
Pu: 0.000 0.000 0.000
Co: 0.250 0.250 0.750
Tc: 0.250 0.250 0.250
Ge: 0.000 0.000 0.500

Results
Energy of formation: -0.46 eV/f.u.
Density of states at the Fermi level: 3.6 states/eV/f.u.
ρ: 12.4 g cm⁻³
M_tot: 3.8 μB per formula unit

=====

DFT (PBE) results for an optimized crystal structure of K3Ho2PdO6.

Cell lengths 5.834, 10.254, 6.491 Å; angles 90.00, 106.71, 90.00 degrees
Space group C2/m (No. 12)
Unique sites:
K: 0.000 0.000 0.000
K: 0.000 0.340 0.000
Ho: 0.000 0.170 0.500
Pd: 0.000 0.500 0.500
O: 0.234 0.330 0.696
O: 0.244 0.000 0.674

Results
Electronic total energy: -6.02 eV/atom
Density of states at the Fermi level: 0.1 states/eV/f.u.
ρ: 5.8 g cm⁻³
M_tot: 1.0 μB per formula unit

=====

DFT (PBE) results for an optimized crystal structure of PrHo8Tm5.

Cell lengths 9.412, 9.412, 10.171 Å; angles 90.00, 90.00, 90.00 degrees
Space group I-4 (No. 82)
Unique sites:
Pr: 0.000 0.000 0.000
Ho: 0.071 0.177 0.647
Ho: 0.089 0.329 0.998
Tm: 0.000 0.500 0.750
Tm: 0.114 0.291 0.322

Results
Energy of formation: 3.50 eV/f.u.
Density of states at the Fermi level: 21.8 states/eV/f.u.
ρ: 8.5 g cm⁻³
M_tot: 0.0 μB per formula unit

=====

DFT (PBE) results for an optimized crystal structure of Al2CdAu5.

Cell lengths 3.827, 5.770, 13.717 Å; angles 90.00, 90.00, 90.00 degrees
Space group Immm (No. 71)
Unique sites:
Al: 0.000 0.000 0.212
Cd: 0.000 0.500 0.000
Au: 0.000 0.000 0.000
Au: 0.000 0.249 0.369

Results
Energy of formation: -2.17 eV/f.u.
Density of states at the Fermi level: 2.7 states/eV/f.u.
ρ: 12.6 g cm⁻³
M_tot: 0.0 μB per formula unit

=====

DFT (PBE) results for an optimized crystal structure of Er2Al2S7.

Cell lengths 7.839, 11.599, 6.556 Å; angles 90.00, 111.55, 90.00 degrees
Space group C2/m (No. 12)
Unique sites:
Er: 0.000 0.188 0.000
Al: 0.233 0.500 0.362
S: 0.000 0.500 0.500
S: 0.170 0.000 0.265
S: 0.233 0.166 0.782

Results
Electronic total energy: -5.40 eV/atom
Density of states at the Fermi level: 0.0 states/eV/f.u.
ρ: 3.7 g cm⁻³
M_tot: 0.0 μB per formula unit

=====

DFT (PBE) results for an optimized crystal structure of SrY3Zr.

Cell lengths 5.723, 5.723, 5.723 Å; angles 90.00, 90.00, 90.00 degrees
Space group Pm-3m (No. 221)
Unique sites:
Sr: 0.000 0.000 0.000
Y: 0.000 0.500 0.500
Zr: 0.500 0.500 0.500

Results
Energy of formation: 2.18 eV/f.u.
Density of states at the Fermi level: 7.1 states/eV/f.u.
ρ: 3.9 g cm⁻³
M_tot: 0.0 μB per formula unit

=====

DFT (PBE) results for an optimized crystal structure of Pr3NiRu.

Cell lengths 4.042, 9.818, 6.537 Å; angles 90.00, 90.00, 90.00 degrees
Space group Pmmn (No. 59, origin choice 2)
Unique sites:
Pr: 0.250 0.058 0.240
Pr: 0.250 0.250 0.746
Ni: 0.250 0.750 0.559
Ru: 0.250 0.750 0.939

Results
Energy of formation: -0.84 eV/f.u.
Density of states at the Fermi level: 5.6 states/eV/f.u.
ρ: 7.5 g cm⁻³
M_tot: 0.0 μB per formula unit
Polymorph energy (0 for the lowest one): 0.0000 eV/atom

=====

| no. | V (Å³/f.u.) |
| --- | --- |
| 1 | 180.1 |
| 2 | 63.3 |
| 3 | 185.9 |
| 4 | 450.5 |
| 5 | 151.4 |
| 6 | 277.2 |
| 7 | 187.4 |
| 8 | 129.7 |